i:
# KZrTc2 | the Alexandria database | SCAN | single point on PBEsol structure
data_KZrTc2
_space_group_name_H-M_alt 'P 1'
_space_group_IT_number 1
_cell_length_a 2.838
_cell_length_b 2.838
_cell_length_c 10.567
_cell_angle_alpha 90.00
_cell_angle_beta 90.00
_cell_angle_gamma 112.19
loop_
_space_group_symop_operation_xyz
'x,y,z'
loop_
_atom_site_label
_atom_site_type_symbol
_atom_site_fract_x
_atom_site_fract_y
_atom_site_fract_z
_atom_site_occupancy
K1 K 0.000 0.000 0.000 1
Zr1 Zr 0.500 0.500 0.668 1
Tc1 Tc 0.000 0.000 0.457 1
Tc2 Tc 0.500 0.500 0.273 1
# Crystal system: orthorhombic
# Density in g/cm3: 6.88
# Symmetry: Cmm2

ii:
# KZrTc2 | the Alexandria database | SCAN | single point on PBEsol structure
data_KZrTc2
_space_group_name_H-M_alt 'P 1'
_space_group_IT_number 1
_cell_length_a 3.032
_cell_length_b 3.032
_cell_length_c 9.588
_cell_angle_alpha 90.00
_cell_angle_beta 90.00
_cell_angle_gamma 90.00
loop_
_space_group_symop_operation_xyz
'x,y,z'
loop_
_atom_site_label
_atom_site_type_symbol
_atom_site_fract_x
_atom_site_fract_y
_atom_site_fract_z
_atom_site_occupancy
K1 K 0.000 0.000 0.000 1
Zr1 Zr 0.500 0.500 0.627 1
Tc1 Tc 0.000 0.000 0.427 1
Tc2 Tc 0.500 0.500 0.291 1
# Crystal system: tetragonal
# Density in g/cm3: 6.15
# Symmetry: P4mm

Computed stability ranking, most favorable first: ii, i